1.
Density functional theory data (PBE) for a geometry-optimized HfS4Br2Cl4 structure.

```
HfS4Br2Cl4
1.0
-3.090 -6.535 -0.169
1.101 -4.656 5.482
-6.202 -0.918 4.442
Cl Br S Hf
4 2 4 1
direct
0.374 0.860 0.779
0.845 0.981 0.780
0.626 0.140 0.221
0.155 0.019 0.220
0.049 0.594 0.186
0.951 0.406 0.814
0.730 0.393 0.500
0.557 0.664 0.331
0.443 0.336 0.669
0.270 0.607 0.500
0.000 0.000 0.000
```

Volume, A^3/atom: 27.96
Raw total energy, eV/atom: -4.1726
Total magnetic moment, μB/atom: 0.000
Relative energy among the computed polymorphs, meV/atom: 0

=====

2.
Density functional theory data (PBE) for a geometry-optimized GdBiN2O structure.

```
GdBiN2O
1.0
-0.796 5.280 2.850
-4.795 -3.327 -1.602
0.479 -6.965 13.034
Gd N Bi O
6 12 6 6
direct
0.000 0.000 0.750
0.000 0.000 0.250
0.333 0.667 0.641
0.667 0.333 0.141
0.667 0.333 0.359
0.333 0.667 0.859
0.142 0.858 0.109
0.283 0.142 0.609
0.717 0.858 0.109
0.142 0.283 0.391
0.717 0.858 0.391
0.858 0.717 0.891
0.858 0.717 0.609
0.858 0.142 0.609
0.142 0.283 0.109
0.142 0.858 0.391
0.283 0.142 0.891
0.858 0.142 0.891
0.333 0.667 0.362
0.000 0.000 0.500
0.333 0.667 0.138
0.667 0.333 0.862
0.667 0.333 0.638
0.000 0.000 0.000
0.968 0.484 0.250
0.484 0.968 0.750
0.484 0.516 0.750
0.516 0.032 0.250
0.032 0.516 0.750
0.516 0.484 0.250
```

Volume, A^3/atom: 15.64
Raw total energy, eV/atom: -6.2912
Total magnetic moment, μB/atom: 0.000

=====

3.
Density functional theory data (PBE) for a geometry-optimized CsAgPdSe3 structure.

```
CsAgPdSe3
1.0
-6.263 -5.735 -1.880
2.234 -2.949 1.553
-1.103 4.100 9.373
Pd Se Cs Ag
2 6 2 2
direct
0.833 0.750 0.362
0.167 0.250 0.638
0.021 0.250 0.376
0.766 0.750 0.089
0.649 0.250 0.378
0.979 0.750 0.624
0.234 0.250 0.911
0.351 0.750 0.622
0.253 0.750 0.215
0.747 0.250 0.785
0.563 0.250 0.102
0.437 0.750 0.898
```

Volume, A^3/atom: 27.65
Raw total energy, eV/atom: -3.6484
Relative energy among the computed polymorphs, meV/atom: 0

=====

4.
Density functional theory data (PBE) for a geometry-optimized NdPt8N2 structure.

```
NdPt8N2
1.0
-2.440 2.028 6.025
-1.286 -1.333 6.553
8.237 2.144 -4.357
Pt N Nd
8 2 1
direct
0.489 0.489 0.630
0.511 0.511 0.370
0.144 0.144 0.919
0.150 0.150 0.345
0.171 0.171 0.665
0.856 0.856 0.081
0.829 0.829 0.335
0.850 0.850 0.655
0.794 0.794 0.812
0.206 0.206 0.188
0.500 0.500 0.000
```

Volume, A^3/atom: 15.25
Raw total energy, eV/atom: -6.3833
Total magnetic moment, μB/atom: 0.000

=====

5.
Density functional theory data (PBE) for a geometry-optimized LaNdNi2Ge2 structure.

```
LaNdNi2Ge2
1.0
-3.127 2.350 -1.681
1.123 -1.293 -3.898
-4.258 -5.289 0.527
Ni Ge La Nd
2 2 1 1
direct
0.000 0.500 0.999
0.500 0.000 0.999
0.000 0.000 0.810
0.500 0.500 0.182
0.000 0.000 0.313
0.500 0.500 0.697
```

Volume, A^3/atom: 20.58
Raw total energy, eV/atom: -5.7092
Total magnetic moment, μB/atom: 0.004

=====

6.
Density functional theory data (PBE) for a geometry-optimized HfCoSnW structure.

```
HfCoSnW
1.0
-3.323 0.416 3.128
-3.821 -2.503 -0.369
-0.802 -3.407 2.957
W Sn Co Hf
1 1 1 1
direct
0.250 0.250 0.250
0.000 0.000 0.000
0.750 0.750 0.750
0.500 0.500 0.500
```

Volume, A^3/atom: 17.01
Raw total energy, eV/atom: -8.3060
Total magnetic moment, μB/atom: 0.221
Relative energy among the computed polymorphs, meV/atom: 0

=====

Please write out number 6 again, unchanged.
Density functional theory data (PBE) for a geometry-optimized HfCoSnW structure.

```
HfCoSnW
1.0
-3.323 0.416 3.128
-3.821 -2.503 -0.369
-0.802 -3.407 2.957
W Sn Co Hf
1 1 1 1
direct
0.250 0.250 0.250
0.000 0.000 0.000
0.750 0.750 0.750
0.500 0.500 0.500
```

Volume, A^3/atom: 17.01
Raw total energy, eV/atom: -8.3060
Total magnetic moment, μB/atom: 0.221
Relative energy among the computed polymorphs, meV/atom: 0